No. 1
Material: TlSiSb2
Method: DFT, PBE
State: optimized geometry

Properties
Energy relative to the lowest polymorph listed for this composition = 0.000 eV per atom
Uncorrected formation energy = 0.17 eV per atom

a b c (Å): 8.8056 8.8056 8.8056
angles (deg): 25.41 25.41 25.41
Last column: nearest neighbours and their distance in Å.
Fractional positions:
Sb1 0.9797 0.9797 0.9797  3 Si 2.76
Sb2 0.5203 0.5203 0.5203  3 Si 2.76
Si1 0.2500 0.2500 0.2500  6 Sb 2.76
Tl1 0.7500 0.7500 0.7500  6 Sb 3.47, 6 Tl 3.87

=====

No. 2
Material: ReIr3
Method: DFT, PBE
State: optimized geometry

Properties
Energy relative to the lowest polymorph listed for this composition = 0.000 eV per atom
ΔE_f = -0.1515 eV per atom

a b c (Å): 5.5233 4.3944 4.8004
angles (deg): 90.00 90.00 90.00
Last column: nearest neighbours and their distance in Å.
Fractional positions:
Ir1 0.0000 0.5000 0.3388  4 Re 2.71-2.76, 8 Ir 2.72-2.80
Ir2 0.2488 0.0000 0.1670  4 Re 2.71-2.78, 8 Ir 2.72-2.80
Ir3 0.2512 0.5000 0.8330  4 Re 2.71-2.78, 8 Ir 2.72-2.80
Ir4 0.5000 0.0000 0.6612  4 Re 2.71-2.76, 8 Ir 2.72-2.80
Ir5 0.7512 0.0000 0.1670  4 Re 2.71-2.78, 8 Ir 2.72-2.80
Ir6 0.7488 0.5000 0.8330  4 Re 2.71-2.78, 8 Ir 2.72-2.80
Re1 0.0000 0.0000 0.6704  12 Ir 2.71-2.78
Re2 0.5000 0.5000 0.3296  12 Ir 2.71-2.78

=====

No. 3
Material: CaAlInAu3
Method: DFT, PBE
State: optimized geometry

Properties
ΔE_f = -0.4785 eV per atom

a b c (Å): 6.0639 6.5209 7.8714
angles (deg): 65.53 82.15 70.74
Last column: nearest neighbours and their distance in Å.
Fractional positions:
Ca1 0.2500 0.2296 0.5409  8 Au 3.07-3.43
Ca2 0.7500 0.7704 0.4591  8 Au 3.07-3.43
Al1 0.7500 0.0135 0.9730  5 Au 2.57-2.62
Al2 0.2500 0.9865 0.0270  5 Au 2.57-2.62
In1 0.2500 0.6087 0.7826  5 Au 2.79-3.01
In2 0.7500 0.3913 0.2174  5 Au 2.79-3.01
Au1 0.5772 0.7910 0.8485  2 Al 2.57, 1 In 2.82
Au2 0.9228 0.3604 0.8485  2 Al 2.57, 1 In 2.82
Au3 0.7500 0.1963 0.6074  1 Al 2.62, 1 In 2.79
Au4 0.4228 0.2090 0.1515  2 Al 2.57, 1 In 2.82
Au5 0.0772 0.6396 0.1515  2 Al 2.57, 1 In 2.82
Au6 0.2500 0.8037 0.3926  1 Al 2.62, 1 In 2.79

=====

No. 4
Material: Ca2LaO
Method: DFT, PBE
State: optimized geometry

Properties
Uncorrected formation energy = -1.28 eV per atom

a b c (Å): 3.4798 3.4798 10.0923
angles (deg): 80.07 80.07 60.00
Last column: nearest neighbours and their distance in Å.
Fractional positions:
Ca1 0.1192 0.1192 0.6424  3 O 2.45
Ca2 0.8808 0.8808 0.3576  3 O 2.45
O1 0.5000 0.5000 0.5000  6 Ca 2.45
La1 0.0000 0.0000 0.0000  6 La 3.48, 2 Ca 3.54

=====

| no. | V (Å³/f.u.) |
| --- | --- |
| 1 | 110.63 |
| 2 | 58.26 |
| 3 | 133.72 |
| 4 | 103.72 |